Computed, not measured: a geometry-optimized SrTcPt structure at the GGA-PBEsol level of DFT.

Lattice parameters (Å, degrees): 2.9455 2.9455 7.4129 90.00 90.00 120.00
Space group P3m1 (No. 156)
Inequivalent atoms, fractional coordinates:
Sr1 0.0000 0.0000 0.0000 (multiplicity 1)
Tc1 0.3333 0.6667 0.6355 (multiplicity 1)
Pt1 0.6667 0.3333 0.3595 (multiplicity 1)

Output
- Formation energy from the elements: 748 meV/atom



Computed, not measured: a geometry-optimized SrTc2Pt structure at the GGA-PBEsol level of DFT.

Lattice parameters (Å, degrees): 2.775 4.801 10.756 90.00 90.00 90.00
Space group Immm (No. 71)
Inequivalent atoms, fractional coordinates:
Sr1 0.000 0.000 0.000 (multiplicity 2)
Tc1 0.000 0.500 0.217 (multiplicity 4)
Pt1 0.000 0.000 0.500 (multiplicity 2)

Output
- Formation energy from the elements: 449 meV/atom



Computed, not measured: a geometry-optimized SrTc2Pt structure at the GGA-PBEsol level of DFT.

Lattice parameters (Å, degrees): 3.857 3.857 4.765 90.00 90.00 90.00
Space group P4/mmm (No. 123)
Inequivalent atoms, fractional coordinates:
Sr1 0.000 0.000 0.000 (multiplicity 1)
Tc1 0.000 0.500 0.500 (multiplicity 2)
Pt1 0.500 0.500 0.000 (multiplicity 1)

Output
- Formation energy from the elements: 724 meV/atom



Computed, not measured: a geometry-optimized SrTcPt2 structure at the GGA-PBEsol level of DFT.

Lattice parameters (Å, degrees): 2.802 4.005 6.665 90.00 90.00 90.00
Space group Pmm2 (No. 25)
Inequivalent atoms, fractional coordinates:
Sr1 0.000 0.000 0.000 (multiplicity 1)
Tc1 0.500 0.500 0.341 (multiplicity 1)
Pt1 0.000 0.000 0.484 (multiplicity 1)
Pt2 0.500 0.500 0.724 (multiplicity 1)

Output
- Formation energy from the elements: 116 meV/atom